a.
Material: CrMoW2
Method: DFT, PBEsol
State: relaxed

a = 4.3503 Å, b = 4.3503 Å, c = 4.3503 Å
α = 60.00°, β = 60.00°, γ = 60.00°
Last column: nearest neighbours and their distance in Å.
Element x y z (fractional)
Mo (0.2500, 0.2500, 0.2500)  4 Cr 2.66, 4 W 2.66
W (0.0000, 0.0000, 0.0000)  4 Mo 2.66, 4 W 2.66
W (0.7500, 0.7500, 0.7500)  4 W 2.66, 4 Cr 2.66
Cr (0.5000, 0.5000, 0.5000)  4 W 2.66, 4 Mo 2.66

Results
Density of states at the Fermi level   2.2 states/eV/cell
Symmetry   F-43m
V   58 Å³/cell

***

b.
Material: CrMoW2
Method: DFT, PBEsol
State: relaxed

a = 3.0805 Å, b = 4.3572 Å, c = 5.0884 Å
α = 115.35°, β = 107.54°, γ = 90.00°
Last column: nearest neighbours and their distance in Å.
Element x y z (fractional)
W (0.7535, 0.2535, 0.5070)  2 Cr 2.63-2.64, 4 Mo 2.67, 2 W 2.69
W (0.9994, 0.9994, 0.9988)  4 Cr 2.67, 2 Mo 2.67-2.68, 2 W 2.69
Cr (0.4999, 0.4999, 0.9998)  6 W 2.63-2.67, 2 Mo 2.64
Mo (0.2471, 0.7472, 0.4944)  2 Cr 2.64, 6 W 2.67-2.68

Results
Density of states at the Fermi level   2.3 states/eV/cell
Symmetry   Cm
V   58 Å³/cell

***

c.
Material: CrMoW2
Method: DFT, PBEsol
State: relaxed

a = 4.3443 Å, b = 4.3443 Å, c = 4.3443 Å
α = 60.00°, β = 60.00°, γ = 60.00°
Last column: nearest neighbours and their distance in Å.
Element x y z (fractional)
Cr (0.0000, 0.0000, 0.0000)  8 W 2.66
W (0.7500, 0.7500, 0.7500)  4 Mo 2.66, 4 Cr 2.66
W (0.2500, 0.2500, 0.2500)  4 Cr 2.66, 4 Mo 2.66
Mo (0.5000, 0.5000, 0.5000)  8 W 2.66

Results
Density of states at the Fermi level   2.2 states/eV/cell
Symmetry   Fm-3m
V   58 Å³/cell

***

d.
Material: CrMoW2
Method: DFT, PBEsol
State: relaxed

a = 3.0827 Å, b = 4.3798 Å, c = 5.0835 Å
α = 115.52°, β = 107.65°, γ = 90.00°
Last column: nearest neighbours and their distance in Å.
Element x y z (fractional)
W (0.7471, 0.7471, 0.4942)  2 Cr 2.63, 2 Mo 2.67, 4 W 2.68
W (0.2529, 0.2529, 0.5058)  2 Cr 2.63, 2 Mo 2.67, 4 W 2.68
Cr (0.0000, 0.5000, 0.0000)  4 W 2.63, 4 Mo 2.68
Mo (0.5000, 0.0000, 0.0000)  4 W 2.67, 4 Cr 2.68

Results
Density of states at the Fermi level   2.4 states/eV/cell
Symmetry   Immm
V   58 Å³/cell

***

Stability verdict: c, ahead by 20 meV/atom